*i*
Computed, not measured: a relaxed FePSCl2 crystal at the GGA-PBEsol level of DFT.

Cell: 4.2800 4.2800 4.7861 Å, 90.00 90.00 90.00°
Last column: nearest neighbours and their distance in Å.
Fractional coordinates of all 5 atoms:
Cl 0.5000 0.0000 0.0000  2 Fe 2.14
Cl 0.0000 0.5000 0.0000  2 Fe 2.14
Fe 0.0000 0.0000 0.0000  4 Cl 2.14, 2 P 2.39
P 0.0000 0.0000 0.5000  2 Fe 2.39
S 0.5000 0.5000 0.5000  4 P 3.03, 8 Cl 3.21

Calculated values
The value obtained for the magnetization is 1.952 μB/f.u. As for the calculated volume: 88 Å³/cell. Its density of states at the Fermi level is 3.83 states/eV per cell.



*ii*
Computed, not measured: a relaxed FePSCl2 crystal at the GGA-PBEsol level of DFT.

Cell: 4.5629 4.5629 4.7704 Å, 90.00 90.00 90.00°
Last column: nearest neighbours and their distance in Å.
Fractional coordinates of all 5 atoms:
Fe 0.5000 0.5000 0.5000  4 P 3.23, 8 Cl 3.30
Cl 0.5000 0.0000 0.0000  2 S 2.28
Cl 0.0000 0.5000 0.0000  2 S 2.28
S 0.0000 0.0000 0.0000  4 Cl 2.28, 2 P 2.39
P 0.0000 0.0000 0.5000  2 S 2.39

Calculated values
The value obtained for the magnetization is 4.033 μB/f.u. As for the calculated volume: 99 Å³/cell. Its density of states at the Fermi level is 4.52 states/eV per cell.



The data favor *i*; the next most stable structure lies 0.561 eV/atom above it.



*i*
Computed, not measured: a relaxed FePbCl2 crystal at the GGA-PBEsol level of DFT.

Cell: 3.3175 5.3634 5.6582 Å, 118.29 107.05 90.00°
Last column: nearest neighbours and their distance in Å.
Fractional coordinates of all 4 atoms:
Fe 0.5000 0.0000 0.0000  4 Cl 2.37
Pb 0.0000 0.5000 0.0000  4 Fe 3.15, 8 Cl 3.17-3.44, 2 Pb 3.32
Cl 0.1795 0.1795 0.3590  2 Fe 2.37
Cl 0.8205 0.8205 0.6410  2 Fe 2.37

Calculated values
The value obtained for the magnetization is 2.870 μB/f.u. As for the calculated volume: 84 Å³/cell. Its density of states at the Fermi level is 4.02 states/eV per cell.



*ii*
Computed, not measured: a relaxed FePbCl2 crystal at the GGA-PBEsol level of DFT.

Cell: 3.2591 3.2591 7.7121 Å, 90.00 90.00 90.00°
Last column: nearest neighbours and their distance in Å.
Fractional coordinates of all 4 atoms:
Cl 0.0000 0.0000 0.9827  4 Pb 3.00, 4 Cl 3.26
Cl 0.5000 0.5000 0.3288  4 Fe 2.50
Fe 0.0000 0.0000 0.4543  4 Cl 2.50
Pb 0.5000 0.5000 0.7342  5 Cl 3.00-3.13, 4 Fe 3.16, 4 Pb 3.26

Calculated values
The value obtained for the magnetization is 3.122 μB/f.u. As for the calculated volume: 82 Å³/cell. Its density of states at the Fermi level is 4.30 states/eV per cell.



*iii*
Computed, not measured: a relaxed FePbCl2 crystal at the GGA-PBEsol level of DFT.

Cell: 4.6118 5.1286 4.6118 Å, 63.28 90.00 116.72°
Last column: nearest neighbours and their distance in Å.
Fractional coordinates of all 4 atoms:
Pb 0.0000 0.0000 0.0000  8 Cl 3.04, 4 Fe 3.26
Cl 0.7500 0.5000 0.7500  4 Fe 3.04, 4 Pb 3.04, 4 Cl 3.26
Cl 0.2500 0.5000 0.2500  4 Pb 3.04, 4 Fe 3.04, 4 Cl 3.26
Fe 0.5000 0.0000 0.5000  8 Cl 3.04, 4 Pb 3.26

Calculated values
The value obtained for the magnetization is 3.494 μB/f.u. As for the calculated volume: 84 Å³/cell. Its density of states at the Fermi level is 2.19 states/eV per cell.



The data favor *i*; the next most stable structure lies 0.125 eV/atom above it.